*i*
Crystalline Ni3PdSe at its relaxed geometry, computed with PBE-GGA.

Cell and atoms, written as extended XYZ:
```
5
Lattice="4.564 0.000 0.000 0.000 4.564 0.000 0.000 0.000 4.564" Properties=species:S:1:pos:R:3 pbc="T T T"
Ni 0.000 0.000 2.282
Ni 0.000 2.282 0.000
Ni 2.282 0.000 0.000
Pd 0.000 0.000 0.000
Se 2.282 2.282 2.282
```

Output
N(E_F) = 12.21 states/eV/f.u.
SG = No. 221
Mass density = 6.3 g/cm3



*ii*
Crystalline Ni3PdSe at its relaxed geometry, computed with PBE-GGA.

Cell and atoms, written as extended XYZ:
```
5
Lattice="4.303 0.000 0.000 0.000 4.303 0.000 0.000 0.000 4.303" Properties=species:S:1:pos:R:3 pbc="T T T"
Ni 0.000 0.000 2.152
Ni 0.000 2.152 0.000
Ni 2.152 0.000 0.000
Pd 2.152 2.152 2.152
Se 0.000 0.000 0.000
```

Output
N(E_F) = 6.25 states/eV/f.u.
SG = No. 221
Mass density = 7.5 g/cm3



Relative energies, in meV per atom, with the most stable structure set to zero: *i* 734; *ii* 0.



*i*
Crystalline Ni2Pd2Se at its relaxed geometry, computed with PBE-GGA.

Cell and atoms, written as extended XYZ:
```
10
Lattice="6.060 0.000 0.000 0.000 6.060 0.000 0.000 0.000 3.939" Properties=species:S:1:pos:R:3 pbc="T T T"
Ni 0.855 2.175 0.000
Ni 2.175 5.205 0.000
Ni 3.885 0.855 0.000
Ni 5.205 3.885 0.000
Pd 0.978 4.008 1.969
Pd 2.052 0.978 1.969
Pd 4.008 5.081 1.969
Pd 5.081 2.052 1.969
Se 0.000 0.000 0.000
Se 3.030 3.030 0.000
```

Output
N(E_F) = 5.55 states/eV/f.u.
SG = No. 127
Mass density = 9.4 g/cm3



*ii*
Crystalline Ni2Pd2Se at its relaxed geometry, computed with PBE-GGA.

Cell and atoms, written as extended XYZ:
```
10
Lattice="3.307 0.000 0.000 0.000 3.307 0.000 0.000 0.000 13.871" Properties=species:S:1:pos:R:3 pbc="T T T"
Ni 0.000 1.653 3.468
Ni 0.000 1.653 10.403
Ni 1.653 0.000 3.468
Ni 1.653 0.000 10.403
Pd 0.000 0.000 1.455
Pd 0.000 0.000 12.416
Pd 1.653 1.653 5.481
Pd 1.653 1.653 8.390
Se 0.000 0.000 6.936
Se 1.653 1.653 0.000
```

Output
N(E_F) = 7.61 states/eV/f.u.
SG = No. 139
Mass density = 9.0 g/cm3



Relative energies, in meV per atom, with the most stable structure set to zero: *i* 0; *ii* 121.



*i*
Crystalline NiPd2Se6 at its relaxed geometry, computed with PBE-GGA.

Cell and atoms, written as extended XYZ:
```
18
Lattice="5.718 0.000 0.000 0.000 5.718 0.000 0.000 0.000 11.718" Properties=species:S:1:pos:R:3 pbc="T T T"
Ni 0.000 0.000 0.000
Ni 2.859 2.859 5.859
Pd 0.000 0.000 3.921
Pd 0.000 0.000 7.797
Pd 2.859 2.859 1.938
Pd 2.859 2.859 9.781
Se 1.056 1.056 1.862
Se 1.056 1.056 9.857
Se 1.159 1.159 5.859
Se 1.700 4.019 0.000
Se 1.803 3.916 3.997
Se 1.803 3.916 7.721
Se 3.916 1.803 3.997
Se 3.916 1.803 7.721
Se 4.019 1.700 0.000
Se 4.559 4.559 5.859
Se 4.662 4.662 1.862
Se 4.662 4.662 9.857
```

Output
N(E_F) = 10.90 states/eV/f.u.
SG = No. 136
Mass density = 6.5 g/cm3



*ii*
Crystalline NiPd2Se6 at its relaxed geometry, computed with PBE-GGA.

Cell and atoms, written as extended XYZ:
```
9
Lattice="5.386 -1.901 0.000 5.386 1.901 0.000 -4.923 0.000 9.642" Properties=species:S:1:pos:R:3 pbc="T T T"
Ni 0.000 0.000 0.000
Pd 0.298 0.000 6.475
Pd 5.551 0.000 3.167
Se -1.078 0.000 4.346
Se 1.367 0.000 1.960
Se 4.219 0.000 1.021
Se 1.630 0.000 8.621
Se 4.482 0.000 7.682
Se 6.926 0.000 5.296
```

Output
N(E_F) = 3.64 states/eV/f.u.
SG = No. 12
Mass density = 6.3 g/cm3



Relative energies, in meV per atom, with the most stable structure set to zero: *i* 201; *ii* 0.